(1)
PBE Li4SnTe2, optimized geometry; E_form (uncorrected) = -0.26 eV/atom; E_tot = -2.8271 eV/atom; space group = No. 139
1.0
-2.486 2.486 7.415
2.486 -2.486 7.415
2.486 2.486 -7.415
Li Sn Te
4 1 2
Direct
0.000 0.500 0.500
0.192 0.192 0.000
0.500 0.000 0.500
0.808 0.808 0.000
0.000 0.000 0.000
0.376 0.376 0.000
0.624 0.624 0.000

***

(2)
PBE Li3SnTe, optimized geometry; energy relative to the lowest polymorph listed for this composition = 0 meV per atom; E_form (uncorrected) = -0.27 eV/atom; E_tot = -2.8510 eV/atom; space group = No. 221
1.0
5.136 0.000 0.000
0.000 5.136 0.000
0.000 0.000 5.136
Li Sn Te
3 1 1
Direct
0.000 0.000 0.500
0.000 0.500 0.000
0.500 0.000 0.000
0.500 0.500 0.500
0.000 0.000 0.000

***

(3)
PBE LiSn6Te8, optimized geometry; E_form (uncorrected) = -0.23 eV/atom; E_tot = -3.6335 eV/atom; space group = No. 147
1.0
11.073 0.000 0.000
-5.536 9.589 0.000
0.000 0.000 4.615
Li Sn Te
1 6 8
Direct
0.000 0.000 0.000
0.128 0.661 0.750
0.339 0.467 0.750
0.467 0.128 0.250
0.533 0.872 0.750
0.661 0.533 0.250
0.872 0.339 0.250
0.030 0.299 0.755
0.269 0.970 0.755
0.299 0.269 0.245
0.333 0.667 0.244
0.667 0.333 0.756
0.701 0.731 0.755
0.731 0.030 0.245
0.970 0.701 0.245

***

(4)
PBE LiSnTe3, optimized geometry; energy relative to the lowest polymorph listed for this composition = 358 meV per atom; E_form (uncorrected) = 0.09 eV/atom; E_tot = -2.9819 eV/atom; space group = No. 221
1.0
5.182 0.000 0.000
0.000 5.182 0.000
0.000 0.000 5.182
Li Sn Te
1 1 3
Direct
0.000 0.000 0.000
0.500 0.500 0.500
0.000 0.000 0.500
0.000 0.500 0.000
0.500 0.000 0.000